Record 1
First-principles (PBE) data for a relaxed structure of La7AsBr12, as listed in the Alexandria database.

Results
E_form (uncorrected): -1810 meV per atom
Volume: 36.35 A^3/atom
Mass density: 4.6 g cm⁻³
Space-group type: R-3

The structure in CIF format:
```
data_La7AsBr12
_chemical_formula_sum 'La7 As1 Br12'
_symmetry_space_group_name_H-M 'P 1'
_symmetry_Int_Tables_number 1
_symmetry_space_group_name_Hall 'P 1'
_cell_length_a 9.645
_cell_length_b 9.645
_cell_length_c 9.645
_cell_angle_alpha 107.95
_cell_angle_beta 107.95
_cell_angle_gamma 107.95
loop_
_atom_site_label
_atom_site_type_symbol
_atom_site_fract_x
_atom_site_fract_y
_atom_site_fract_z
Br1 Br 0.078 0.688 0.226
Br2 Br 0.312 0.774 0.922
Br3 Br 0.388 0.472 0.161
Br4 Br 0.161 0.388 0.472
Br5 Br 0.839 0.612 0.528
Br6 Br 0.922 0.312 0.774
Br7 Br 0.688 0.226 0.078
Br8 Br 0.472 0.161 0.388
Br9 Br 0.774 0.922 0.312
Br10 Br 0.612 0.528 0.839
Br11 Br 0.528 0.839 0.612
Br12 Br 0.226 0.078 0.688
La1 La 0.673 0.887 0.966
La2 La 0.500 0.500 0.500
La3 La 0.887 0.966 0.673
La4 La 0.034 0.327 0.113
La5 La 0.966 0.673 0.887
La6 La 0.113 0.034 0.327
La7 La 0.327 0.113 0.034
As1 As 0.000 0.000 0.000
```



Record 2
First-principles (PBE) data for a relaxed structure of Al2TeCl, as listed in the Alexandria database.

Results
E_form (uncorrected): -189 meV per atom
Volume: 28.84 A^3/atom
Mass density: 3.1 g cm⁻³
Excess energy over the best structure of this formula in the dataset: 242 meV per atom
Space-group type: Pmm2

The structure in CIF format:
```
data_Al2TeCl
_chemical_formula_sum 'Al2 Te1 Cl1'
_symmetry_space_group_name_H-M 'P 1'
_symmetry_Int_Tables_number 1
_symmetry_space_group_name_Hall 'P 1'
_cell_length_a 4.079
_cell_length_b 4.169
_cell_length_c 6.782
_cell_angle_alpha 90.00
_cell_angle_beta 90.00
_cell_angle_gamma 90.00
loop_
_atom_site_label
_atom_site_type_symbol
_atom_site_fract_x
_atom_site_fract_y
_atom_site_fract_z
Al1 Al 0.500 0.500 0.356
Al2 Al 0.000 0.000 0.945
Te1 Te 0.500 0.500 0.896
Cl1 Cl 0.000 0.000 0.302
```



Record 3
First-principles (PBE) data for a relaxed structure of MgGa3Cu2, as listed in the Alexandria database.

Results
Volume: 15.90 A^3/atom
Calculated formation energy: -0.205 eV/f.u.
Mass density: 6.3 g cm⁻³
Excess energy over the best structure of this formula in the dataset: 95 meV per atom
Space-group type: R-3m

The structure in CIF format:
```
data_MgGa3Cu2
_chemical_formula_sum 'Mg2 Ga6 Cu4'
_symmetry_space_group_name_H-M 'P 1'
_symmetry_Int_Tables_number 1
_symmetry_space_group_name_Hall 'P 1'
_cell_length_a 5.797
_cell_length_b 5.797
_cell_length_c 7.362
_cell_angle_alpha 66.81
_cell_angle_beta 66.81
_cell_angle_gamma 60.00
loop_
_atom_site_label
_atom_site_type_symbol
_atom_site_fract_x
_atom_site_fract_y
_atom_site_fract_z
Cu1 Cu 0.000 0.000 0.000
Cu2 Cu 0.500 0.500 0.000
Cu3 Cu 0.500 0.000 0.000
Cu4 Cu 0.000 0.500 0.000
Ga1 Ga 0.729 0.729 0.308
Ga2 Ga 0.234 0.729 0.308
Ga3 Ga 0.271 0.766 0.692
Ga4 Ga 0.271 0.271 0.692
Ga5 Ga 0.729 0.234 0.308
Ga6 Ga 0.766 0.271 0.692
Mg1 Mg 0.221 0.221 0.336
Mg2 Mg 0.779 0.779 0.664
```



Record 4
First-principles (PBE) data for a relaxed structure of Sc2Si4Ni3Os, as listed in the Alexandria database.

Results
E_form (uncorrected): -761 meV per atom
Volume: 14.42 A^3/atom
Mass density: 6.5 g cm⁻³
Space-group type: P-4m2

The structure in CIF format:
```
data_Sc2Si4Ni3Os
_chemical_formula_sum 'Sc2 Si4 Ni3 Os1'
_symmetry_space_group_name_H-M 'P 1'
_symmetry_Int_Tables_number 1
_symmetry_space_group_name_Hall 'P 1'
_cell_length_a 3.881
_cell_length_b 3.881
_cell_length_c 9.570
_cell_angle_alpha 90.00
_cell_angle_beta 90.00
_cell_angle_gamma 90.00
loop_
_atom_site_label
_atom_site_type_symbol
_atom_site_fract_x
_atom_site_fract_y
_atom_site_fract_z
Sc1 Sc 0.500 0.000 0.241
Sc2 Sc 0.000 0.500 0.759
Si1 Si 0.000 0.000 0.000
Si2 Si 0.500 0.000 0.640
Si3 Si 0.000 0.500 0.360
Si4 Si 0.500 0.500 0.000
Ni1 Ni 0.000 0.500 0.127
Ni2 Ni 0.500 0.000 0.873
Ni3 Ni 0.000 0.000 0.500
Os1 Os 0.500 0.500 0.500
```